Record 1
Computed, not measured: a geometry-optimized Sn2GePd6 structure at the GGA-PBE level of DFT.

The structure belongs to space group P-62m (No. 189); the cell edges are 7.1191, 7.1191 and 3.4441 Å and the angles 90.00°, 90.00° and 120.00°. The inequivalent atoms are Sn at (0.3333, 0.6667, 0.0000), Ge at (0.0000, 0.0000, 0.5000), Pd at (0.0000, 0.2581, 0.0000) and Pd at (0.0000, 0.6166, 0.5000).

For the volume, the calculation gives 16.8 Å³/atom. As for the formation enthalpy at 0 K: -0.55 eV/atom. As for the total energy: -5.414 eV per atom.


Record 2
Computed, not measured: a geometry-optimized LaPm5Nd12 structure at the GGA-PBE level of DFT.

The structure belongs to space group C2/m (No. 12); the cell edges are 11.665, 17.838 and 6.118 Å and the angles 90.00°, 90.09° and 90.00°. The inequivalent atoms are La at (0.000, 0.000, 0.000), Pm at (0.000, 0.171, 0.500), Pm at (0.000, 0.327, 0.000), Pm at (0.000, 0.500, 0.500), Nd at (0.167, 0.500, 0.962), Nd at (0.173, 0.000, 0.539), Nd at (0.178, 0.335, 0.557) and Nd at (0.181, 0.166, 0.942).

For the volume, the calculation gives 35.4 Å³/atom. As for the formation enthalpy at 0 K: 0.10 eV/atom. As for the total energy: -4.675 eV per atom.


Record 3
Computed, not measured: a geometry-optimized Tl2RuSe structure at the GGA-PBE level of DFT.

The structure belongs to space group Imm2 (No. 44); the cell edges are 3.187, 4.687 and 12.869 Å and the angles 90.00°, 90.00° and 90.00°. The inequivalent atoms are Tl at (0.000, 0.000, 0.000), Tl at (0.000, 0.500, 0.190), Ru at (0.000, 0.500, 0.722) and Se at (0.000, 0.000, 0.367).

The excess energy over the best structure of this formula in the dataset comes out at 0.133 eV/f.u. For the volume, the calculation gives 24.0 Å³/atom. As for the total energy: -4.266 eV per atom. The uncorrected formation energy is 0.43 eV per formula unit.


Record 4
Computed, not measured: a geometry-optimized AsPd2Au structure at the GGA-PBE level of DFT.

The structure belongs to space group R-3m (No. 166, hexagonal axes); the cell edges are 4.1977, 4.1977 and 13.4439 Å and the angles 90.00°, 90.00° and 120.00°. The inequivalent atoms are As at (0.0000, 0.0000, 0.0000), Pd at (0.0000, 0.0000, 0.2679) and Au at (0.0000, 0.0000, 0.5000).

For the volume, the calculation gives 17.1 Å³/atom. As for the formation enthalpy at 0 K: -0.14 eV/atom. As for the total energy: -4.714 eV per atom.


Record 5
Computed, not measured: a geometry-optimized KAgNF2 structure at the GGA-PBE level of DFT.

The structure belongs to space group P4/mmm (No. 123); the cell edges are 4.891, 4.891 and 4.977 Å and the angles 90.00°, 90.00° and 90.00°. The inequivalent atoms are K at (0.000, 0.000, 0.000), Ag at (0.500, 0.500, 0.500), N at (0.000, 0.000, 0.500) and F at (0.000, 0.500, 0.000).

The excess energy over the best structure of this formula in the dataset comes out at 3.745 eV/f.u. For the volume, the calculation gives 23.8 Å³/atom. As for the total energy: -3.093 eV per atom. The uncorrected formation energy is 0.55 eV per formula unit.


Record 6
Computed, not measured: a geometry-optimized TbNbTl2O6 structure at the GGA-PBE level of DFT.

The structure belongs to space group Fm-3m (No. 225); the cell edges are 8.546, 8.546 and 8.546 Å and the angles 90.00°, 90.00° and 90.00°. The inequivalent atoms are Tb at (0.000, 0.000, 0.000), Nb at (0.000, 0.000, 0.500), Tl at (0.250, 0.250, 0.250) and O at (0.000, 0.000, 0.265).

For the volume, the calculation gives 15.6 Å³/atom. As for the total energy: -6.775 eV per atom. The uncorrected formation energy is -18.57 eV per formula unit.


Record 7
Computed, not measured: a geometry-optimized ScNi2Os structure at the GGA-PBE level of DFT.

The structure belongs to space group P4/mmm (No. 123); the cell edges are 3.188, 3.188 and 5.553 Å and the angles 90.00°, 90.00° and 90.00°. The inequivalent atoms are Sc at (0.000, 0.000, 0.000), Ni at (0.500, 0.500, 0.277) and Os at (0.000, 0.000, 0.500).

The excess energy over the best structure of this formula in the dataset comes out at 0.486 eV/f.u. For the volume, the calculation gives 14.1 Å³/atom. As for the formation enthalpy at 0 K: -0.04 eV/atom. As for the total energy: -7.317 eV per atom.


Record 8
Computed, not measured: a geometry-optimized ZnGaNiRu structure at the GGA-PBE level of DFT.

The structure belongs to space group Pmmm (No. 47); the cell edges are 3.135, 4.057 and 4.129 Å and the angles 90.00°, 90.00° and 90.00°. The inequivalent atoms are Zn at (0.000, 0.000, 0.000), Ga at (0.000, 0.500, 0.500), Ni at (0.500, 0.500, 0.000) and Ru at (0.500, 0.000, 0.500).

The excess energy over the best structure of this formula in the dataset comes out at 0.000 eV/f.u. For the volume, the calculation gives 13.1 Å³/atom. As for the formation enthalpy at 0 K: -0.28 eV/atom. As for the total energy: -5.123 eV per atom.


Record 9
Computed, not measured: a geometry-optimized Th2Ga3GeRh4 structure at the GGA-PBE level of DFT.

The structure belongs to space group P-4m2 (No. 115); the cell edges are 4.341, 4.341 and 9.902 Å and the angles 90.00°, 90.00° and 90.00°. The inequivalent atoms are Th at (0.000, 0.500, 0.247), Ga at (0.000, 0.500, 0.874), Ga at (0.500, 0.500, 0.500), Ge at (0.000, 0.000, 0.500), Rh at (0.000, 0.000, 0.000), Rh at (0.000, 0.500, 0.627) and Rh at (0.500, 0.500, 0.000).

For the volume, the calculation gives 18.7 Å³/atom. As for the formation enthalpy at 0 K: -0.83 eV/atom. As for the total energy: -6.625 eV per atom.


Record 10
Computed, not measured: a geometry-optimized Pa2MnGe structure at the GGA-PBE level of DFT.

The structure belongs to space group P4/mmm (No. 123); the cell edges are 4.276, 4.276 and 4.170 Å and the angles 90.00°, 90.00° and 90.00°. The inequivalent atoms are Pa at (0.000, 0.500, 0.000), Mn at (0.000, 0.000, 0.500) and Ge at (0.500, 0.500, 0.500).

The excess energy over the best structure of this formula in the dataset comes out at 0.533 eV/f.u. For the volume, the calculation gives 19.1 Å³/atom. As for the formation enthalpy at 0 K: -0.16 eV/atom. As for the total energy: -8.357 eV per atom.


Record 11
Computed, not measured: a geometry-optimized SrAl7Cu12 structure at the GGA-PBE level of DFT.

The structure belongs to space group R-3m (No. 166, hexagonal axes); the cell edges are 12.6165, 12.6165 and 6.4523 Å and the angles 90.00°, 90.00° and 120.00°. The inequivalent atoms are Sr at (0.0000, 0.0000, 0.0000), Al at (0.0000, 0.0000, 0.5000), Al at (0.0993, 0.5496, 0.3517), Cu at (0.0000, 0.2700, 0.0000) and Cu at (0.1070, 0.5535, 0.9499).

For the volume, the calculation gives 14.8 Å³/atom. As for the formation enthalpy at 0 K: -0.06 eV/atom. As for the total energy: -3.915 eV per atom.


Record 12
Computed, not measured: a geometry-optimized Ti5Cu2Ni structure at the GGA-PBE level of DFT.

The structure belongs to space group I4/mcm (No. 140); the cell edges are 6.232, 6.232 and 12.662 Å and the angles 90.00°, 90.00° and 90.00°. The inequivalent atoms are Ti at (0.000, 0.000, 0.000), Ti at (0.162, 0.338, 0.161), Cu at (0.132, 0.368, 0.500) and Ni at (0.000, 0.000, 0.250).

For the volume, the calculation gives 15.4 Å³/atom. As for the formation enthalpy at 0 K: -0.04 eV/atom. As for the total energy: -6.725 eV per atom.


Record 13
Computed, not measured: a geometry-optimized Cs3Tl9Au2 structure at the GGA-PBE level of DFT.

The structure belongs to space group Immm (No. 71); the cell edges are 5.165, 13.078 and 15.098 Å and the angles 90.00°, 90.00° and 90.00°. The inequivalent atoms are Cs at (0.000, 0.000, 0.000), Cs at (0.000, 0.000, 0.311), Tl at (0.000, 0.290, 0.110), Tl at (0.000, 0.340, 0.323), Tl at (0.000, 0.500, 0.000) and Au at (0.000, 0.234, 0.500).

For the volume, the calculation gives 36.4 Å³/atom. As for the formation enthalpy at 0 K: -0.07 eV/atom. As for the total energy: -2.246 eV per atom.


Record 14
Computed, not measured: a geometry-optimized Er5Pb2C2 structure at the GGA-PBE level of DFT.

The structure belongs to space group P4/mmm (No. 123); the cell edges are 4.833, 4.833 and 9.361 Å and the angles 90.00°, 90.00° and 90.00°. The inequivalent atoms are Er at (0.000, 0.000, 0.000), Er at (0.000, 0.500, 0.282), Pb at (0.500, 0.500, 0.000), Pb at (0.500, 0.500, 0.500) and C at (0.000, 0.000, 0.246).

For the volume, the calculation gives 24.3 Å³/atom. As for the formation enthalpy at 0 K: -0.36 eV/atom. As for the total energy: -5.765 eV per atom.


Record 15
Computed, not measured: a geometry-optimized CaTe2Ru structure at the GGA-PBE level of DFT.

The structure belongs to space group R-3m (No. 166, hexagonal axes); the cell edges are 4.2245, 4.2245 and 19.2902 Å and the angles 90.00°, 90.00° and 120.00°. The inequivalent atoms are Ca at (0.0000, 0.0000, 0.0000), Te at (0.0000, 0.0000, 0.2308) and Ru at (0.0000, 0.0000, 0.5000).

The excess energy over the best structure of this formula in the dataset comes out at 0.354 eV/f.u. For the volume, the calculation gives 24.8 Å³/atom. As for the total energy: -5.013 eV per atom. The uncorrected formation energy is -2.49 eV per formula unit.


Record 16
Computed, not measured: a geometry-optimized Se2SN structure at the GGA-PBE level of DFT.

The structure belongs to space group I-42d (No. 122); the cell edges are 6.242, 6.242 and 7.405 Å and the angles 90.00°, 90.00° and 90.00°. The inequivalent atoms are Se at (0.191, 0.250, 0.125), S at (0.000, 0.000, 0.500) and N at (0.000, 0.000, 0.000).

The excess energy over the best structure of this formula in the dataset comes out at 0.744 eV/f.u. For the volume, the calculation gives 18.0 Å³/atom. As for the total energy: -3.860 eV per atom. The uncorrected formation energy is 3.98 eV per formula unit.


Record 17
Computed, not measured: a geometry-optimized Pu3PaPd4 structure at the GGA-PBE level of DFT.

The structure belongs to space group Pmmm (No. 47); the cell edges are 3.192, 5.220 and 10.424 Å and the angles 90.00°, 90.00° and 90.00°. The inequivalent atoms are Pu at (0.000, 0.000, 0.000), Pu at (0.000, 0.500, 0.246), Pa at (0.000, 0.000, 0.500), Pd at (0.500, 0.000, 0.261), Pd at (0.500, 0.500, 0.000) and Pd at (0.500, 0.500, 0.500).

For the volume, the calculation gives 21.7 Å³/atom. As for the formation enthalpy at 0 K: -0.39 eV/atom. As for the total energy: -9.543 eV per atom.


Record 18
Computed, not measured: a geometry-optimized Nb4PtRh structure at the GGA-PBE level of DFT.

The structure belongs to space group C2/c (No. 15); the cell edges are 5.529, 15.951 and 4.746 Å and the angles 90.00°, 91.46° and 90.00°. The inequivalent atoms are Nb at (0.246, 0.041, 0.149), Nb at (0.248, 0.149, 0.709), Pt at (0.000, 0.304, 0.750) and Rh at (0.000, 0.198, 0.250).

For the volume, the calculation gives 17.4 Å³/atom. As for the formation enthalpy at 0 K: -0.19 eV/atom. As for the total energy: -9.139 eV per atom.


Record 19
Computed, not measured: a geometry-optimized CaSi2Au6 structure at the GGA-PBE level of DFT.

The structure belongs to space group P4/mmm (No. 123); the cell edges are 4.462, 4.462 and 8.518 Å and the angles 90.00°, 90.00° and 90.00°. The inequivalent atoms are Ca at (0.000, 0.000, 0.000), Si at (0.500, 0.500, 0.138), Au at (0.000, 0.000, 0.500), Au at (0.000, 0.500, 0.272) and Au at (0.500, 0.500, 0.500).

The excess energy over the best structure of this formula in the dataset comes out at 0.000 eV/f.u. For the volume, the calculation gives 18.8 Å³/atom. As for the total energy: -3.911 eV per atom. The uncorrected formation energy is -2.69 eV per formula unit.


Record 20
Computed, not measured: a geometry-optimized Nd12Ho7Tm structure at the GGA-PBE level of DFT.

The structure belongs to space group R-3m (No. 166, hexagonal axes); the cell edges are 19.6511, 19.6511 and 6.2251 Å and the angles 90.00°, 90.00° and 120.00°. The inequivalent atoms are Nd at (0.0000, 0.4124, 0.0000), Nd at (0.0981, 0.5490, 0.4645), Ho at (0.0000, 0.0000, 0.0000), Ho at (0.0812, 0.1624, 0.2945) and Tm at (0.0000, 0.0000, 0.5000).

The excess energy over the best structure of this formula in the dataset comes out at 0.000 eV/f.u. For the volume, the calculation gives 34.7 Å³/atom. As for the formation enthalpy at 0 K: 0.23 eV/atom. As for the total energy: -4.459 eV per atom.